Computed, not measured: a relaxed LaHgTe2 crystal at the PBE level of DFT.

POSCAR file:
```
LaHgTe2
1.0
-1.111 -4.531 4.771
-1.482 -6.441 0.919
4.474 -1.024 0.076
Hg La Te
1 1 2
direct
0.510 0.510 0.376
0.708 0.708 0.874
0.007 0.007 0.876
0.274 0.274 0.374
```

Output
**Symmetry**: Cm (8)
**Formation energy (no corrections)**: -1.009 eV per atom
**Calculated volume**: 31.3 Å³/atom
**E_tot**: -3.8872 eV per atom
**Mass density**: 7.89 g/cm3
**Magnetization**: 0.0000 μB/atom